First-principles (PBE) data for a geometry-optimized TaTiInO6 structure, as listed in Alexandria via LeMat-Bulk.

Values from the calculation:
E (eV per atom): -8.340
Space group: P-31c

The structure in POSCAR format:
```
TaTiInO6
1.0
5.187 0.000 0.000
-2.594 4.493 0.000
0.000 0.000 9.285
Ta Ti In O
2 2 2 12
Direct
0.667 0.333 0.250 Ta
0.333 0.667 0.750 Ta
0.333 0.667 0.250 Ti
0.667 0.333 0.750 Ti
0.000 0.000 0.000 In
0.000 0.000 0.500 In
0.645 0.648 0.135 O
0.003 0.355 0.135 O
0.355 0.003 0.635 O
0.997 0.645 0.865 O
0.352 0.355 0.365 O
0.003 0.648 0.365 O
0.648 0.003 0.865 O
0.645 0.997 0.365 O
0.997 0.352 0.635 O
0.352 0.997 0.135 O
0.648 0.645 0.635 O
0.355 0.352 0.865 O
```



First-principles (PBE) data for a geometry-optimized TeRuSe2 structure, as listed in Alexandria via LeMat-Bulk.

Values from the calculation:
E (eV per atom): -4.926
Space group: Cmmm

The structure in POSCAR format:
```
TeRuSe2
1.0
3.578 0.000 0.000
0.000 5.198 -0.009
0.000 2.529 4.539
Ru Se Te
1 2 1
Direct
0.500 0.750 0.750 Ru
0.000 0.945 0.946 Se
0.000 0.555 0.554 Se
0.500 0.250 0.250 Te
```



First-principles (PBE) data for a geometry-optimized PuTh2OsC2 structure, as listed in Alexandria via LeMat-Bulk.

Values from the calculation:
E (eV per atom): -9.861
Space group: Pnnm
Formation enthalpy at 0 K (meV per atom): -53

The structure in POSCAR format:
```
PuTh2OsC2
1.0
3.832 0.000 0.000
0.000 5.915 0.000
0.000 0.000 10.726
Pu Th Os C
2 4 2 4
Direct
0.500 0.500 0.000 Pu
0.000 0.000 0.500 Pu
0.500 0.051 0.209 Th
0.000 0.551 0.291 Th
0.500 0.949 0.791 Th
0.000 0.449 0.709 Th
0.000 0.000 0.000 Os
0.500 0.500 0.500 Os
0.500 0.788 0.394 C
0.500 0.212 0.606 C
0.000 0.712 0.894 C
0.000 0.288 0.106 C
```



First-principles (PBE) data for a geometry-optimized NaZn2InPt structure, as listed in Alexandria via LeMat-Bulk.

Values from the calculation:
E (eV per atom): -2.736
Space group: P4/mmm
Formation enthalpy at 0 K (meV per atom): -206

The structure in POSCAR format:
```
NaZn2InPt
1.0
-4.350 -2.233 -0.682
2.251 -3.627 -2.479
0.645 -2.594 4.381
Na Zn Pt In
1 2 1 1
Direct
0.500 0.500 0.500 Na
0.000 0.500 0.000 Zn
0.500 0.000 0.000 Zn
0.000 0.000 0.000 Pt
0.000 0.000 0.500 In
```



First-principles (PBE) data for a geometry-optimized BaTiSi2Sn structure, as listed in Alexandria via LeMat-Bulk.

Values from the calculation:
E (eV per atom): -3.141
Space group: P4/mmm

The structure in POSCAR format:
```
BaTiSi2Sn
1.0
-2.165 0.556 -5.061
-4.598 -1.724 1.778
-1.481 5.193 1.204
Si Ti Ba Sn
2 1 1 1
Direct
0.000 0.000 0.500 Si
0.500 0.000 0.000 Si
0.000 0.500 0.000 Ti
0.000 0.000 0.000 Ba
0.500 0.500 0.500 Sn
```



First-principles (PBE) data for a geometry-optimized Rb5YO4 structure, as listed in Alexandria via LeMat-Bulk.

Values from the calculation:
ΔE to the lowest computed polymorph (eV per formula unit): 0.00
E (eV per atom): -4.750
Space group: Pmmn

The structure in POSCAR format:
```
Rb5YO4
1.0
-3.200 2.086 5.452
3.248 -7.191 4.657
6.874 4.582 2.281
Rb Y O
10 2 8
Direct
0.742 0.189 0.237 Rb
0.742 0.189 0.763 Rb
0.175 0.000 0.500 Rb
0.742 0.811 0.237 Rb
0.742 0.811 0.763 Rb
0.258 0.689 0.263 Rb
0.258 0.689 0.737 Rb
0.825 0.500 0.000 Rb
0.258 0.311 0.737 Rb
0.258 0.311 0.263 Rb
0.214 0.000 0.000 Y
0.786 0.500 0.500 Y
0.038 0.202 0.000 O
0.387 0.000 0.217 O
0.387 0.000 0.783 O
0.038 0.798 0.000 O
0.962 0.702 0.500 O
0.613 0.500 0.283 O
0.613 0.500 0.717 O
0.962 0.298 0.500 O
```



First-principles (PBE) data for a geometry-optimized LiZr4P structure, as listed in Alexandria via LeMat-Bulk.

Values from the calculation:
E (eV per atom): -6.403
Space group: F-43m
Formation enthalpy at 0 K (meV per atom): 516

The structure in POSCAR format:
```
LiZr4P
1.0
-2.152 2.046 4.881
-5.324 -1.356 1.565
-0.871 -3.503 4.428
Li Zr P
1 4 1
Direct
0.750 0.750 0.750 Li
0.873 0.376 0.376 Zr
0.376 0.376 0.873 Zr
0.376 0.873 0.376 Zr
0.376 0.376 0.376 Zr
0.000 0.000 0.000 P
```



First-principles (PBE) data for a geometry-optimized Pm2Nd6Zn structure, as listed in Alexandria via LeMat-Bulk.

Values from the calculation:
ΔE to the lowest computed polymorph (eV per formula unit): 0.00
E (eV per atom): -4.417
Space group: P-62m
Formation enthalpy at 0 K (meV per atom): -41

The structure in POSCAR format:
```
Pm2Nd6Zn
1.0
3.746 0.000 0.000
0.000 8.715 -4.013
0.000 -0.884 9.550
Pm Nd Zn
2 6 1
Direct
0.000 0.333 0.666 Pm
0.000 0.667 0.334 Pm
0.500 0.619 0.000 Nd
0.500 0.380 0.380 Nd
0.500 0.000 0.620 Nd
0.000 0.260 0.000 Nd
0.000 0.741 0.741 Nd
0.000 0.000 0.259 Nd
0.500 0.000 0.000 Zn
```



First-principles (PBE) data for a geometry-optimized Sr3HfBr structure, as listed in Alexandria via LeMat-Bulk.

Values from the calculation:
ΔE to the lowest computed polymorph (eV per formula unit): 0.00
E (eV per atom): -3.180
Space group: Pm-3m

The structure in POSCAR format:
```
Sr3HfBr
1.0
5.912 0.000 0.000
0.000 5.912 0.000
0.000 0.000 5.912
Sr Hf Br
3 1 1
Direct
0.000 0.500 0.000 Sr
0.000 0.000 0.500 Sr
0.500 0.000 0.000 Sr
0.500 0.500 0.500 Hf
0.000 0.000 0.000 Br
```



First-principles (PBE) data for a geometry-optimized YMg2Mo structure, as listed in Alexandria via LeMat-Bulk.

Values from the calculation:
ΔE to the lowest computed polymorph (eV per formula unit): 0.18
E (eV per atom): -4.795
Space group: P2/m
Formation enthalpy at 0 K (meV per atom): 326

The structure in POSCAR format:
```
YMg2Mo
1.0
-3.697 2.853 -2.073
-2.050 -1.821 1.150
-1.045 2.383 5.142
Mg Mo Y
2 1 1
Direct
0.000 0.058 0.028 Mg
0.000 0.442 0.472 Mg
0.500 0.250 0.250 Mo
0.500 0.750 0.750 Y
```



First-principles (PBE) data for a geometry-optimized HfFe2CuH structure, as listed in Alexandria via LeMat-Bulk.

Values from the calculation:
ΔE to the lowest computed polymorph (eV per formula unit): 0.07
E (eV per atom): -6.903
Space group: P4/mmm

The structure in POSCAR format:
```
HfFe2CuH
1.0
3.859 0.000 0.000
0.000 3.859 0.000
0.000 0.000 3.692
H Hf Fe Cu
1 1 2 1
Direct
0.000 0.000 0.000 H
0.500 0.500 0.500 Hf
0.000 0.500 0.000 Fe
0.500 0.000 0.000 Fe
0.000 0.000 0.500 Cu
```



First-principles (PBE) data for a geometry-optimized Tb6Pm3YTh2 structure, as listed in Alexandria via LeMat-Bulk.

Values from the calculation:
E (eV per atom): -5.257
Space group: C2/m
Formation enthalpy at 0 K (meV per atom): 21

The structure in POSCAR format:
```
Tb6Pm3YTh2
1.0
-3.903 4.828 -0.349
-0.344 -3.932 4.805
9.030 6.279 4.437
Tb Pm Y Th
6 3 1 2
Direct
0.918 0.580 0.754 Tb
0.744 0.744 0.246 Tb
0.082 0.420 0.246 Tb
0.580 0.918 0.754 Tb
0.256 0.256 0.754 Tb
0.420 0.082 0.246 Tb
0.167 0.833 0.500 Pm
0.833 0.167 0.500 Pm
0.500 0.500 0.500 Pm
0.000 0.000 0.000 Y
0.333 0.667 0.000 Th
0.667 0.333 0.000 Th
```



First-principles (PBE) data for a geometry-optimized NaHgSe structure, as listed in Alexandria via LeMat-Bulk.

Values from the calculation:
ΔE to the lowest computed polymorph (eV per formula unit): 0.00
E (eV per atom): -2.292
Space group: C2/m

The structure in POSCAR format:
```
NaHgSe
1.0
4.583 -0.755 -0.023
-0.755 4.583 0.023
0.045 -0.045 8.903
Na Hg Se
2 2 2
Direct
0.755 0.245 0.130 Na
0.245 0.755 0.870 Na
0.619 0.381 0.610 Hg
0.381 0.619 0.390 Hg
0.138 0.862 0.194 Se
0.862 0.138 0.806 Se
```